No. 1
Compound: La12DyEr7
Source: Alexandria via LeMat-Bulk
Functional: PBE
Structure: optimized geometry

Cell and atoms, written as POSCAR:
```
La12DyEr7
1.0
6.222 0.000 -1.281
-3.213 9.786 -5.107
0.204 0.000 11.495
La Dy Er
12 1 7
direct
0.092 0.592 0.184
0.092 0.184 0.592
0.573 0.646 0.001
0.428 0.001 0.354
0.500 0.408 0.592
0.073 0.646 0.646
0.927 0.354 0.354
0.500 0.592 0.408
0.572 0.999 0.646
0.427 0.354 0.999
0.908 0.816 0.408
0.908 0.408 0.816
0.000 0.000 0.000
0.115 0.754 0.001
0.885 0.001 0.247
0.639 0.753 0.754
0.500 0.000 0.000
0.361 0.247 0.246
0.115 0.999 0.753
0.885 0.246 0.999
```

Results
DOS at the Fermi energy	27.8	states/eV/f.u.
DFT formation energy	195	meV/atom
DFT total energy	-4.588	eV/atom



No. 2
Compound: Cs2LaIrBr6
Source: Alexandria via LeMat-Bulk
Functional: PBE
Structure: optimized geometry

Cell and atoms, written as POSCAR:
```
Cs2LaIrBr6
1.0
7.987 0.000 0.000
0.000 7.987 0.000
3.994 3.994 5.656
Cs Ir Br La
2 1 6 1
direct
0.750 0.250 0.500
0.250 0.750 0.500
0.000 0.000 0.000
0.240 0.240 0.520
0.760 0.760 0.480
0.240 0.240 0.000
0.760 0.760 0.000
0.760 0.240 0.000
0.240 0.760 0.000
0.500 0.500 0.000
```

Results
DOS at the Fermi energy	0.0	states/eV/f.u.
raw formation energy	-1229	meV/atom
DFT total energy	-3.782	eV/atom



No. 3
Compound: Co2SbRh
Source: Alexandria via LeMat-Bulk
Functional: PBE
Structure: optimized geometry

Cell and atoms, written as POSCAR:
```
Co2SbRh
1.0
3.816 0.000 0.000
0.000 3.816 0.000
0.000 0.000 3.751
Co Rh Sb
2 1 1
direct
0.000 0.000 0.000
0.500 0.500 0.000
0.500 0.000 0.500
0.000 0.500 0.500
```

Results
DOS at the Fermi energy	5.3	states/eV/f.u.
raw formation energy	-14	meV/atom
DFT total energy	-6.436	eV/atom



No. 4
Compound: Mg4Sc5Hg2
Source: Alexandria via LeMat-Bulk
Functional: PBE
Structure: optimized geometry

Cell and atoms, written as POSCAR:
```
Mg4Sc5Hg2
1.0
-0.294 0.783 3.357
3.402 -6.945 1.918
16.447 7.942 -0.411
Mg Sc Hg
8 10 4
direct
0.500 0.292 0.566
0.500 0.708 0.434
0.500 0.792 0.934
0.500 0.208 0.066
0.500 0.422 0.853
0.500 0.578 0.147
0.500 0.922 0.647
0.500 0.078 0.353
0.000 0.500 0.000
0.000 0.000 0.500
0.000 0.257 0.212
0.000 0.743 0.788
0.000 0.757 0.288
0.000 0.243 0.712
0.000 0.375 0.428
0.000 0.625 0.572
0.000 0.875 0.072
0.000 0.125 0.928
0.500 0.461 0.304
0.500 0.539 0.696
0.500 0.961 0.196
0.500 0.039 0.804
```

Results
DOS at the Fermi energy	11.0	states/eV/f.u.
DFT formation energy	-189	meV/atom
DFT total energy	-3.702	eV/atom



No. 5
Compound: MnZnNiAs
Source: Alexandria via LeMat-Bulk
Functional: PBE
Structure: optimized geometry

Cell and atoms, written as POSCAR:
```
MnZnNiAs
1.0
-1.586 2.535 -2.284
-1.857 -2.601 -1.599
-3.009 0.514 2.660
Mn Zn Ni As
1 1 1 1
direct
0.500 0.000 0.500
0.500 0.500 0.000
0.000 0.000 0.000
0.000 0.500 0.500
```

Results
DOS at the Fermi energy	2.7	states/eV/f.u.
DFT formation energy	-63	meV/atom
DFT total energy	-5.282	eV/atom



No. 6
Compound: AcSmTe2
Source: Alexandria via LeMat-Bulk
Functional: PBE
Structure: optimized geometry

Cell and atoms, written as POSCAR:
```
AcSmTe2
1.0
3.955 0.000 0.000
0.000 3.955 0.000
0.000 0.000 7.929
Ac Te Sm
1 2 1
direct
0.500 0.500 0.500
0.000 0.000 0.765
0.000 0.000 0.235
0.500 0.500 0.000
```

Results
DOS at the Fermi energy	2.8	states/eV/f.u.
raw formation energy	-1318	meV/atom
DFT total energy	-5.096	eV/atom



No. 7
Compound: La7Dy3Mg
Source: Alexandria via LeMat-Bulk
Functional: PBE
Structure: optimized geometry

Cell and atoms, written as POSCAR:
```
La7Dy3Mg
1.0
-1.524 6.381 0.036
-6.012 -1.625 4.716
3.985 0.752 6.677
La Dy Mg
7 3 1
direct
0.206 0.240 0.240
0.265 0.904 0.558
0.735 0.442 0.096
0.265 0.558 0.904
0.000 0.500 0.500
0.735 0.096 0.442
0.794 0.760 0.760
0.000 0.838 0.162
0.500 0.000 0.000
0.000 0.162 0.838
0.500 0.500 0.500
```

Results
DOS at the Fermi energy	17.4	states/eV/f.u.
DFT formation energy	217	meV/atom
DFT total energy	-4.319	eV/atom



No. 8
Compound: SrLaBe2Cd
Source: Alexandria via LeMat-Bulk
Functional: PBE
Structure: optimized geometry

Cell and atoms, written as POSCAR:
```
SrLaBe2Cd
1.0
-1.433 -1.883 4.207
0.229 -5.317 -2.301
4.605 -0.402 1.389
Sr Cd Be La
1 1 2 1
direct
0.500 0.500 0.500
0.000 0.000 0.000
0.000 0.000 0.500
0.500 0.000 0.000
0.000 0.500 0.000
```

Results
DOS at the Fermi energy	4.3	states/eV/f.u.
DFT formation energy	700	meV/atom
DFT total energy	-2.295	eV/atom



No. 9
Compound: Sc2AgW
Source: Alexandria via LeMat-Bulk
Functional: PBE
Structure: optimized geometry

Cell and atoms, written as POSCAR:
```
Sc2AgW
1.0
2.978 -3.668 0.531
0.484 -2.072 4.252
-1.720 -4.373 0.723
Sc Ag W
2 1 1
direct
0.250 0.250 0.250
0.750 0.750 0.750
0.000 0.000 0.000
0.500 0.500 0.500
```

Results
DOS at the Fermi energy	4.3	states/eV/f.u.
DFT formation energy	210	meV/atom
DFT total energy	-6.906	eV/atom



No. 10
Compound: SrTa2Au
Source: Alexandria via LeMat-Bulk
Functional: PBE
Structure: optimized geometry

Cell and atoms, written as POSCAR:
```
SrTa2Au
1.0
5.961 0.013 0.000
3.109 5.086 0.000
-4.535 -2.549 2.910
Au Sr Ta
1 1 2
direct
0.250 0.750 0.500
0.750 0.250 0.500
0.000 0.000 0.000
0.500 0.500 0.000
```

Results
DOS at the Fermi energy	5.0	states/eV/f.u.
DFT formation energy	651	meV/atom
DFT total energy	-6.515	eV/atom



No. 11
Compound: Dy3Ga2Ir
Source: Alexandria via LeMat-Bulk
Functional: PBE
Structure: optimized geometry

Cell and atoms, written as POSCAR:
```
Dy3Ga2Ir
1.0
4.297 0.000 0.000
0.000 11.106 0.000
0.000 0.000 11.882
Dy Ga Ir
12 8 4
direct
0.250 0.375 0.050
0.750 0.625 0.950
0.750 0.875 0.450
0.250 0.125 0.550
0.250 0.699 0.231
0.750 0.301 0.769
0.750 0.199 0.269
0.250 0.801 0.731
0.250 0.442 0.384
0.750 0.558 0.616
0.750 0.942 0.116
0.250 0.058 0.884
0.250 0.698 0.492
0.750 0.302 0.508
0.750 0.198 0.008
0.250 0.802 0.992
0.250 0.995 0.308
0.750 0.005 0.692
0.750 0.495 0.192
0.250 0.505 0.808
0.250 0.123 0.123
0.750 0.877 0.877
0.750 0.623 0.377
0.250 0.377 0.623
```

Results
DOS at the Fermi energy	5.8	states/eV/f.u.
DFT formation energy	-689	meV/atom
DFT total energy	-5.475	eV/atom



No. 12
Compound: NaMoN2
Source: Alexandria via LeMat-Bulk
Functional: PBE
Structure: optimized geometry

Cell and atoms, written as POSCAR:
```
NaMoN2
1.0
-2.677 1.323 4.254
0.255 -4.909 1.688
2.750 -0.833 5.164
Na Mo N
2 2 4
direct
0.500 0.500 0.000
0.250 0.750 0.500
0.000 0.000 0.000
0.750 0.250 0.500
0.724 0.125 0.250
0.026 0.625 0.250
0.375 0.276 0.750
0.875 0.974 0.750
```

Results
DOS at the Fermi energy	1.5	states/eV/f.u.
raw formation energy	-354	meV/atom
DFT total energy	-7.555	eV/atom